The following is a DFT calculation (GGA-PBE) of a relaxed TbDy2ErSe4 crystal.

The structure in POSCAR format:
```
TbDy2ErSe4
1.0
-1.214 -2.399 -2.991
-0.348 -5.429 4.497
-6.509 -0.228 2.825
Tb Dy Er Se
1 2 1 4
Direct
0.500 0.500 0.000
0.000 0.000 0.000
0.500 0.000 0.500
0.000 0.500 0.500
0.000 0.750 0.747
0.000 0.250 0.253
0.500 0.748 0.253
0.500 0.252 0.747
```

Properties
The size of the total moment comes out at 0.0 μB/f.u. As for the calculated total energy: -46.24 eV for the cell shown. The space group is P2/m (10). As for the energy relative to the elements, uncorrected: -1738 meV/atom.

=====

The following is a DFT calculation (GGA-PBE) of a relaxed Ag3Hg2Se2Br3 crystal.

The structure in POSCAR format:
```
Ag3Hg2Se2Br3
1.0
4.399 0.000 0.000
0.000 4.399 0.000
-2.200 -2.200 14.179
Ag Hg Se Br
3 2 2 3
Direct
0.904 0.904 0.809
0.500 0.500 0.000
0.096 0.096 0.191
0.750 0.250 0.500
0.250 0.750 0.500
0.811 0.811 0.622
0.189 0.189 0.378
0.596 0.596 0.191
0.404 0.404 0.809
0.000 0.000 0.000
```

Properties
The size of the total moment comes out at 0.0 μB/f.u. As for the calculated total energy: -22.81 eV for the cell shown. The space group is I4/mmm (139). As for the energy relative to the elements, uncorrected: -166 meV/atom.

=====

The following is a DFT calculation (GGA-PBE) of a relaxed Y2Co2Te crystal.

The structure in POSCAR format:
```
Y2Co2Te
1.0
-4.352 -3.701 -4.356
0.254 -5.594 4.500
-3.119 1.405 1.923
Y Te Co
4 2 4
Direct
0.177 0.677 0.500
0.677 0.823 0.500
0.823 0.323 0.500
0.323 0.177 0.500
0.000 0.000 0.000
0.500 0.500 0.000
0.389 0.889 0.000
0.889 0.611 0.000
0.611 0.111 0.000
0.111 0.389 0.000
```

Properties
The size of the total moment comes out at 1.4 μB/f.u. As for the calculated total energy: -64.88 eV for the cell shown. The space group is P4/mbm (127). As for the energy relative to the elements, uncorrected: -431 meV/atom.

=====

The following is a DFT calculation (GGA-PBE) of a relaxed CoCu2Pb2 crystal.

The structure in POSCAR format:
```
CoCu2Pb2
1.0
6.769 0.000 0.000
0.000 6.769 0.000
0.000 0.000 4.075
Pb Co Cu
4 2 4
Direct
0.178 0.678 0.500
0.678 0.822 0.500
0.822 0.322 0.500
0.322 0.178 0.500
0.000 0.000 0.000
0.500 0.500 0.000
0.369 0.869 0.000
0.869 0.631 0.000
0.631 0.131 0.000
0.131 0.369 0.000
```

Properties
The size of the total moment comes out at 1.3 μB/f.u. As for the calculated total energy: -40.80 eV for the cell shown. As for the formation energy: 463 meV/atom. The space group is P4/mbm (127).

=====

The following is a DFT calculation (GGA-PBE) of a relaxed Li2LaCdP crystal.

The structure in POSCAR format:
```
Li2LaCdP
1.0
-2.724 -4.368 2.236
2.324 -3.513 -4.031
4.367 -0.992 3.382
P Cd Li La
1 1 2 1
Direct
0.500 0.500 0.500
0.000 0.500 0.000
0.000 0.000 0.500
0.500 0.000 0.000
0.000 0.000 0.000
```

Properties
The size of the total moment comes out at 2.0 μB/f.u. As for the calculated total energy: -8.48 eV for the cell shown. As for the formation energy: 1320 meV/atom. The space group is P4/mmm (123).

=====

The following is a DFT calculation (GGA-PBE) of a relaxed TaRe3 crystal.

The structure in POSCAR format:
```
TaRe3
1.0
3.213 -4.448 0.000
3.213 4.448 0.000
0.000 0.000 4.411
Ta Re
2 6
Direct
0.631 0.369 0.750
0.369 0.631 0.250
0.869 0.617 0.250
0.893 0.107 0.250
0.617 0.869 0.750
0.383 0.131 0.250
0.107 0.893 0.750
0.131 0.383 0.750
```

Properties
The size of the total moment comes out at 0.0 μB/f.u. As for the calculated total energy: -98.66 eV for the cell shown. As for the formation energy: -33 meV/atom. The space group is Cmcm (63).

=====

The following is a DFT calculation (GGA-PBE) of a relaxed AlFe2Co crystal.

The structure in POSCAR format:
```
AlFe2Co
1.0
-2.185 1.821 3.299
3.547 -1.946 1.614
1.376 2.238 -0.325
Co Fe Al
1 2 1
Direct
0.000 0.500 0.500
0.000 0.000 0.000
0.500 0.500 0.000
0.500 0.000 0.500
```

Properties
The size of the total moment comes out at 5.8 μB/f.u. As for the calculated total energy: -28.30 eV for the cell shown. As for the formation energy: -132 meV/atom. The space group is Cmmm (65).

=====

The following is a DFT calculation (GGA-PBE) of a relaxed InCuSb2 crystal.

The structure in POSCAR format:
```
InCuSb2
1.0
-3.588 4.161 4.033
-4.948 -1.305 4.500
6.271 -1.397 -2.273
Cu In Sb
1 1 2
Direct
0.484 0.484 0.000
0.692 0.192 0.500
0.005 0.005 0.000
0.319 0.819 0.500
```

Properties
The size of the total moment comes out at 0.0 μB/f.u. As for the calculated total energy: -14.48 eV for the cell shown. The space group is Imm2 (44). As for the energy relative to the elements, uncorrected: 150 meV/atom.

=====

The following is a DFT calculation (GGA-PBE) of a relaxed Mg2SnI crystal.

The structure in POSCAR format:
```
Mg2SnI
1.0
0.000 3.765 3.765
3.765 0.000 3.765
3.765 3.765 0.000
I Mg Sn
1 2 1
Direct
0.500 0.500 0.500
0.250 0.250 0.250
0.750 0.750 0.750
0.000 0.000 0.000
```

Properties
The size of the total moment comes out at 0.0 μB/f.u. As for the calculated total energy: -8.54 eV for the cell shown. The calculation puts the offset from the most stable computed form at 0.304 eV/atom. The space group is Fm-3m (225). As for the energy relative to the elements, uncorrected: 50 meV/atom.

=====

The following is a DFT calculation (GGA-PBE) of a relaxed Li2CaLaPb2 crystal.

The structure in POSCAR format:
```
Li2CaLaPb2
1.0
4.919 0.000 0.000
-2.460 4.260 0.000
0.000 0.000 7.697
Li Ca La Pb
2 1 1 2
Direct
0.333 0.667 0.718
0.667 0.333 0.282
0.000 0.000 0.500
0.000 0.000 0.000
0.333 0.667 0.245
0.667 0.333 0.755
```

Properties
The size of the total moment comes out at 0.0 μB/f.u. As for the calculated total energy: -21.27 eV for the cell shown. As for the formation energy: -516 meV/atom. The space group is P-3m1 (164).

=====

The following is a DFT calculation (GGA-PBE) of a relaxed TaCdSeN2 crystal.

The structure in POSCAR format:
```
TaCdSeN2
1.0
4.011 0.000 0.000
0.000 4.011 0.000
0.000 0.000 5.534
N Cd Se Ta
2 1 1 1
Direct
0.000 0.500 0.000
0.500 0.000 0.000
0.500 0.500 0.500
0.000 0.000 0.500
0.000 0.000 0.000
```

Properties
The size of the total moment comes out at 0.0 μB/f.u. As for the calculated total energy: -32.78 eV for the cell shown. The calculation puts the offset from the most stable computed form at 0.000 eV/atom. The space group is P4/mmm (123). As for the energy relative to the elements, uncorrected: 24 meV/atom.

=====

The following is a DFT calculation (GGA-PBE) of a relaxed NaCaHg2 crystal.

The structure in POSCAR format:
```
NaCaHg2
1.0
4.056 0.000 0.000
2.028 3.512 0.000
2.028 1.171 8.431
Na Ca Hg
1 1 2
Direct
0.499 0.499 0.502
0.667 0.667 0.998
0.084 0.084 0.748
0.250 0.250 0.251
```

Properties
The size of the total moment comes out at 0.0 μB/f.u. As for the calculated total energy: -4.98 eV for the cell shown. As for the formation energy: -265 meV/atom. The space group is R3m (160).

=====

The following is a DFT calculation (GGA-PBE) of a relaxed AcPm12Dy7 crystal.

The structure in POSCAR format:
```
AcPm12Dy7
1.0
8.584 1.142 1.714
-1.290 8.563 1.714
-1.290 -1.716 8.562
Ac Pm Dy
1 12 7
Direct
0.000 0.000 0.000
0.862 0.280 0.725
0.720 0.275 0.138
0.626 0.142 0.497
0.858 0.503 0.374
0.275 0.138 0.720
0.503 0.374 0.858
0.497 0.626 0.142
0.725 0.862 0.280
0.142 0.497 0.626
0.374 0.858 0.503
0.280 0.725 0.862
0.138 0.720 0.275
0.845 0.612 0.940
0.388 0.060 0.155
0.060 0.155 0.388
0.500 0.500 0.500
0.940 0.845 0.612
0.612 0.940 0.845
0.155 0.388 0.060
```

Properties
The size of the total moment comes out at 0.0 μB/f.u. As for the calculated total energy: -88.92 eV for the cell shown. The calculation puts the offset from the most stable computed form at 0.000 eV/atom. As for the formation energy: 221 meV/atom. The space group is R-3 (148).

=====

The following is a DFT calculation (GGA-PBE) of a relaxed Ca3Pm2Mg4 crystal.

The structure in POSCAR format:
```
Ca3Pm2Mg4
1.0
-1.005 2.819 -4.696
-2.916 -2.375 -4.105
-8.898 3.747 4.156
Ca Pm Mg
3 2 4
Direct
0.333 0.333 0.423
0.000 0.000 0.000
0.667 0.667 0.577
0.333 0.333 0.794
0.667 0.667 0.206
0.667 0.667 0.894
0.000 0.000 0.335
0.000 0.000 0.665
0.333 0.333 0.106
```

Properties
The size of the total moment comes out at 0.0 μB/f.u. As for the calculated total energy: -22.22 eV for the cell shown. As for the formation energy: -38 meV/atom. The space group is P-3m1 (164).

=====

The following is a DFT calculation (GGA-PBE) of a relaxed Sr5PbAu4 crystal.

The structure in POSCAR format:
```
Sr5PbAu4
1.0
3.866 0.000 0.000
0.000 3.866 0.000
0.000 0.000 19.847
Sr Pb Au
5 1 4
Direct
0.500 0.500 0.114
0.500 0.500 0.307
0.500 0.500 0.500
0.500 0.500 0.693
0.500 0.500 0.886
0.000 0.000 0.000
0.000 0.000 0.211
0.000 0.000 0.404
0.000 0.000 0.596
0.000 0.000 0.789
```

Properties
The size of the total moment comes out at 0.0 μB/f.u. As for the calculated total energy: -32.25 eV for the cell shown. As for the formation energy: -702 meV/atom. The space group is P4/mmm (123).

=====

The following is a DFT calculation (GGA-PBE) of a relaxed Pm8Ho2Tm crystal.

The structure in POSCAR format:
```
Pm8Ho2Tm
1.0
5.409 0.000 -1.643
-1.008 7.469 -3.321
-0.090 -0.358 9.431
Pm Ho Tm
8 2 1
Direct
0.636 0.841 0.272
0.364 0.569 0.729
0.163 0.163 0.325
0.000 0.293 0.000
0.837 0.837 0.675
0.636 0.431 0.271
0.364 0.159 0.728
0.000 0.707 0.000
0.201 0.701 0.403
0.799 0.299 0.597
0.500 0.000 0.000
```

Properties
The size of the total moment comes out at 0.0 μB/f.u. As for the calculated total energy: -50.38 eV for the cell shown. The calculation puts the offset from the most stable computed form at 0.000 eV/atom. As for the formation energy: 114 meV/atom. The space group is Immm (71).

=====

The following is a DFT calculation (GGA-PBE) of a relaxed SrAc2Pt crystal.

The structure in POSCAR format:
```
SrAc2Pt
1.0
-0.158 3.021 -3.219
-3.378 2.839 -0.201
4.071 8.624 4.864
Sr Ac Pt
1 2 1
Direct
0.501 0.501 0.497
0.052 0.052 0.843
0.280 0.280 0.159
0.666 0.666 0.001
```

Properties
The size of the total moment comes out at 0.0 μB/f.u. As for the calculated total energy: -18.33 eV for the cell shown. The calculation puts the offset from the most stable computed form at 0.000 eV/atom. As for the formation energy: -598 meV/atom. The space group is R3m (160).

=====

The following is a DFT calculation (GGA-PBE) of a relaxed Hf2SnBiIr crystal.

The structure in POSCAR format:
```
Hf2SnBiIr
1.0
5.068 0.000 0.000
0.000 5.372 0.000
0.000 0.000 5.068
Ir Hf Bi Sn
1 2 1 1
Direct
0.000 0.000 0.000
0.000 0.000 0.500
0.500 0.000 0.000
0.000 0.500 0.000
0.500 0.500 0.500
```

Properties
The size of the total moment comes out at 0.0 μB/f.u. As for the calculated total energy: -35.16 eV for the cell shown. As for the formation energy: 298 meV/atom. The space group is P4/mmm (123).

=====

The following is a DFT calculation (GGA-PBE) of a relaxed La2PrY6 crystal.

The structure in POSCAR format:
```
La2PrY6
1.0
6.428 0.622 0.602
2.554 9.999 -0.244
2.554 0.080 10.002
La Pr Y
4 2 12
Direct
0.171 0.609 0.688
0.329 0.312 0.391
0.829 0.391 0.312
0.671 0.688 0.609
0.250 0.134 0.866
0.750 0.866 0.134
0.404 0.746 0.372
0.096 0.628 0.254
0.596 0.254 0.628
0.904 0.372 0.746
0.791 0.963 0.442
0.709 0.558 0.037
0.209 0.037 0.558
0.291 0.442 0.963
0.306 0.803 0.942
0.194 0.058 0.197
0.694 0.197 0.058
0.806 0.942 0.803
```

Properties
The size of the total moment comes out at 0.0 μB/f.u. As for the calculated total energy: -103.43 eV for the cell shown. The calculation puts the offset from the most stable computed form at 0.125 eV/atom. As for the formation energy: 189 meV/atom. The space group is C2/c (15).

=====

The following is a DFT calculation (GGA-PBE) of a relaxed AuI crystal.

The structure in POSCAR format:
```
AuI
1.0
4.553 0.000 0.000
0.000 4.553 0.000
0.000 0.000 14.333
Au I
4 4
Direct
0.750 0.250 0.750
0.250 0.250 0.250
0.750 0.750 0.250
0.250 0.750 0.750
0.000 0.500 0.605
0.000 0.500 0.105
0.500 0.000 0.395
0.500 0.000 0.895
```

Properties
The size of the total moment comes out at 0.0 μB/f.u. As for the calculated total energy: -19.77 eV for the cell shown. The space group is P4_2/ncm (138). As for the energy relative to the elements, uncorrected: -57 meV/atom.

=====

The following is a DFT calculation (GGA-PBE) of a relaxed CsBa2CS crystal.

The structure in POSCAR format:
```
CsBa2CS
1.0
-2.151 -0.542 -5.594
3.611 -5.426 -0.863
-4.545 -3.354 2.073
Cs C S Ba
1 1 1 2
Direct
0.000 0.500 0.000
0.500 0.500 0.500
0.000 0.000 0.000
0.000 0.000 0.500
0.500 0.000 0.000
```

Properties
The size of the total moment comes out at 1.2 μB/f.u. As for the calculated total energy: -15.79 eV for the cell shown. The space group is P4/mmm (123). As for the energy relative to the elements, uncorrected: 452 meV/atom.

=====

The following is a DFT calculation (GGA-PBE) of a relaxed V5ZnGa4 crystal.

The structure in POSCAR format:
```
V5ZnGa4
1.0
-0.969 -4.805 -1.863
-1.413 -4.162 4.089
-5.710 -1.145 -1.456
V Zn Ga
5 1 4
Direct
0.863 0.368 0.787
0.232 0.787 0.632
0.650 0.213 0.368
0.019 0.632 0.213
0.742 0.000 0.000
0.208 0.000 0.000
0.360 0.361 0.817
0.721 0.817 0.639
0.177 0.183 0.361
0.538 0.639 0.183
```

Properties
The size of the total moment comes out at 0.0 μB/f.u. As for the calculated total energy: -57.04 eV for the cell shown. As for the formation energy: 194 meV/atom. The space group is I4 (79).

=====

The following is a DFT calculation (GGA-PBE) of a relaxed TlSb2F7 crystal.

The structure in POSCAR format:
```
TlSb2F7
1.0
-2.103 2.260 -3.021
-5.818 -0.031 4.026
4.719 5.251 0.643
Tl Sb F
1 2 7
Direct
0.000 0.000 0.000
0.500 0.672 0.344
0.500 0.328 0.656
0.000 0.644 0.288
0.000 0.356 0.712
0.500 0.658 0.734
0.500 0.342 0.266
0.500 0.925 0.266
0.500 0.075 0.734
0.500 0.500 0.000
```

Properties
The size of the total moment comes out at 0.0 μB/f.u. As for the calculated total energy: -45.90 eV for the cell shown. The space group is Cmmm (65). As for the energy relative to the elements, uncorrected: -2219 meV/atom.

=====

The following is a DFT calculation (GGA-PBE) of a relaxed NdCuHg crystal.

The structure in POSCAR format:
```
NdCuHg
1.0
4.672 0.000 0.000
0.000 8.197 0.000
0.000 0.000 7.081
Nd Cu Hg
4 4 4
Direct
0.250 0.781 0.490
0.750 0.281 0.010
0.250 0.719 0.990
0.750 0.219 0.510
0.750 0.588 0.278
0.750 0.912 0.778
0.250 0.088 0.222
0.250 0.412 0.722
0.750 0.919 0.207
0.750 0.581 0.707
0.250 0.081 0.793
0.250 0.419 0.293
```

Properties
The size of the total moment comes out at 0.0 μB/f.u. As for the calculated total energy: -40.43 eV for the cell shown. As for the formation energy: -314 meV/atom. The space group is Pnma (62).